Ac2La2Pm5 | GGA-PBE | optimized geometry

a b c (Å): 12.5270 6.9743 10.5513
angles (deg): 109.30 126.41 90.00
Fractional positions:
Ac: 0.0000 0.0295 0.0000
Ac: 0.5000 0.5295 0.0000
Ac: 0.2527 0.3374 0.5000
Ac: 0.7473 0.8374 0.5000
La: 0.1314 0.6871 0.2519
La: 0.8686 0.4351 0.7481
La: 0.6205 0.1871 0.2519
La: 0.3795 0.9351 0.7481
Pm: 0.1932 0.6487 0.8898
Pm: 0.8068 0.7590 0.1102
Pm: 0.1965 0.1487 0.8898
Pm: 0.8035 0.2590 0.1102
Pm: 0.3765 0.0280 0.2830
Pm: 0.6235 0.7449 0.7170
Pm: 0.4065 0.5280 0.2830
Pm: 0.5935 0.2449 0.7170
Pm: 0.0188 0.6663 0.5000
Pm: 0.9812 0.1663 0.5000

Total DFT energy (no corrections)   -80.763 eV per cell
Space-group type   No. 46
Density of states at the Fermi level   1.63 states/eV/atom
M_tot   0.00 μB per formula unit


Ac5La2Pm5 | GGA-PBE | optimized geometry

a b c (Å): 5.3727 8.5303 11.4566
angles (deg): 72.76 76.44 71.64
Fractional positions:
Ac: 0.8387 0.8253 0.4973
Ac: 0.2504 0.7449 0.7543
Ac: 0.7496 0.2551 0.2457
Ac: 0.1613 0.1747 0.5027
Ac: 0.0000 0.0000 0.0000
La: 0.9166 0.4113 0.7555
La: 0.0834 0.5887 0.2445
Pm: 0.5000 0.5000 0.5000
Pm: 0.3324 0.3348 0.0003
Pm: 0.4199 0.9124 0.2479
Pm: 0.5801 0.0876 0.7521
Pm: 0.6676 0.6652 0.9997

Total DFT energy (no corrections)   -53.712 eV per cell
Space-group type   No. 12
Density of states at the Fermi level   1.83 states/eV/atom
M_tot   0.00 μB per formula unit


AcLa6Pm | GGA-PBE | optimized geometry

a b c (Å): 5.2984 5.2984 10.5996
angles (deg): 90.00 90.00 90.00
Fractional positions:
Ac: 0.0000 0.0000 0.0000
La: 0.5000 0.5000 0.0000
La: 0.5000 0.5000 0.5000
La: 0.5000 0.0000 0.2562
La: 0.5000 0.0000 0.7438
La: 0.0000 0.5000 0.2562
La: 0.0000 0.5000 0.7438
Pm: 0.0000 0.0000 0.5000

Total DFT energy (no corrections)   -38.346 eV per cell
Space-group type   No. 123
Density of states at the Fermi level   1.78 states/eV/atom
M_tot   0.00 μB per formula unit


Ac5La12Pm | GGA-PBE | optimized geometry

a b c (Å): 11.4588 11.3816 6.5555
angles (deg): 106.23 90.00 59.77
Fractional positions:
Ac: 0.5000 0.0000 0.5000
Ac: 0.1647 0.6706 0.5085
Ac: 0.8353 0.3294 0.4915
Ac: 0.6672 0.6656 0.9962
Ac: 0.3328 0.3344 0.0038
La: 0.8327 0.0000 0.5001
La: 0.1673 0.0000 0.4999
La: 0.6748 0.0000 0.0000
La: 0.3252 0.0000 0.0000
La: 0.3340 0.6698 0.0035
La: 0.9962 0.6698 0.0035
La: 0.0038 0.3302 0.9965
La: 0.6660 0.3302 0.9965
La: 0.5035 0.3342 0.5029
La: 0.8378 0.6658 0.4971
La: 0.1622 0.3342 0.5029
La: 0.4965 0.6658 0.4971
Pm: 0.0000 0.0000 0.0000

Total DFT energy (no corrections)   -84.032 eV per cell
Space-group type   No. 12
Density of states at the Fermi level   2.05 states/eV/atom
M_tot   0.00 μB per formula unit


Ac8La5Pm | GGA-PBE | optimized geometry

a b c (Å): 9.1587 9.1587 9.1587
angles (deg): 111.12 106.23 111.12
Fractional positions:
Ac: 0.1744 0.7331 0.0684
Ac: 0.9316 0.1060 0.6647
Ac: 0.7283 0.2566 0.3329
Ac: 0.6671 0.3954 0.9237
Ac: 0.5283 0.6046 0.2717
Ac: 0.5587 0.8940 0.8256
Ac: 0.3353 0.2669 0.4413
Ac: 0.0763 0.7434 0.4717
La: 0.0274 0.3037 0.1281
La: 0.8719 0.8993 0.1755
La: 0.8245 0.6963 0.7238
La: 0.5000 0.0000 0.5000
La: 0.2762 0.1007 0.9726
Pm: 0.2500 0.5000 0.7500

Total DFT energy (no corrections)   -59.270 eV per cell
Space-group type   No. 82
Density of states at the Fermi level   1.51 states/eV/atom
M_tot   0.00 μB per formula unit


Ac4La2Pm3 | GGA-PBE | optimized geometry

a b c (Å): 5.4461 6.5953 11.4539
angles (deg): 73.76 89.97 65.66
Fractional positions:
Ac: 0.6661 0.6679 0.8885
Ac: 0.0042 0.9915 0.3344
Ac: 0.9958 0.0085 0.6656
Ac: 0.3339 0.3321 0.1115
La: 0.3300 0.3403 0.7732
La: 0.6700 0.6597 0.2268
Pm: 0.3349 0.3303 0.4475
Pm: 0.0000 0.0000 0.0000
Pm: 0.6651 0.6697 0.5525

Total DFT energy (no corrections)   -40.207 eV per cell
Space-group type   No. 12
Density of states at the Fermi level   2.01 states/eV/atom
M_tot   0.00 μB per formula unit


Ac3La8Pm | GGA-PBE | optimized geometry

a b c (Å): 9.1024 9.1024 9.1024
angles (deg): 98.41 97.93 135.71
Fractional positions:
Ac: 0.5000 0.7434 0.2434
Ac: 0.5000 0.2566 0.7566
Ac: 0.0000 0.5000 0.5000
La: 0.5025 0.2769 0.2256
La: 0.4975 0.7231 0.7744
La: 0.9487 0.7231 0.2256
La: 0.0513 0.2769 0.7744
La: 0.1741 0.2461 0.4202
La: 0.8259 0.2461 0.0720
La: 0.1741 0.7539 0.9280
La: 0.8259 0.7539 0.5798
Pm: 0.0000 0.0000 0.0000

Total DFT energy (no corrections)   -53.987 eV per cell
Space-group type   No. 71
Density of states at the Fermi level   1.58 states/eV/atom
M_tot   0.00 μB per formula unit


Ac6LaPm3 | GGA-PBE | optimized geometry

a b c (Å): 3.8435 12.8617 17.1791
angles (deg): 104.04 90.00 90.00
Fractional positions:
Ac: 0.2500 0.3886 0.5407
Ac: 0.7500 0.6114 0.4593
Ac: 0.2500 0.8731 0.0223
Ac: 0.7500 0.1269 0.9777
Ac: 0.2500 0.8447 0.6109
Ac: 0.7500 0.1553 0.3891
Ac: 0.2500 0.6605 0.2681
Ac: 0.7500 0.3395 0.7319
Ac: 0.2500 0.6087 0.8548
Ac: 0.7500 0.3913 0.1452
Ac: 0.2500 0.1372 0.1836
Ac: 0.7500 0.8628 0.8164
La: 0.2500 0.3726 0.9437
La: 0.7500 0.6274 0.0563
Pm: 0.2500 0.1149 0.5741
Pm: 0.7500 0.8851 0.4259
Pm: 0.2500 0.3875 0.3297
Pm: 0.7500 0.6125 0.6703
Pm: 0.2500 0.1084 0.7875
Pm: 0.7500 0.8916 0.2125

Total DFT energy (no corrections)   -86.357 eV per cell
Space-group type   No. 11
Density of states at the Fermi level   1.61 states/eV/atom
M_tot   0.00 μB per formula unit


Ac2La7Pm2 | GGA-PBE | optimized geometry

a b c (Å): 8.6466 7.2196 7.2196
angles (deg): 103.95 81.03 81.03
Fractional positions:
Ac: 0.3223 0.4167 0.4167
Ac: 0.6777 0.5833 0.5833
La: 0.6734 0.0850 0.5078
La: 0.3266 0.4922 0.9150
La: 0.3266 0.9150 0.4922
La: 0.6734 0.5078 0.0850
La: 0.5000 0.0000 0.0000
La: 0.9809 0.8069 0.8069
La: 0.0191 0.1931 0.1931
Pm: 0.0000 0.2869 0.7131
Pm: 0.0000 0.7131 0.2869

Total DFT energy (no corrections)   -50.779 eV per cell
Space-group type   No. 12
Density of states at the Fermi level   1.81 states/eV/atom
M_tot   0.00 μB per formula unit


Ac3La2Pm2 | GGA-PBE | optimized geometry

a b c (Å): 5.7415 3.7872 13.0539
angles (deg): 90.00 77.30 90.00
Fractional positions:
Ac: 0.8477 0.0000 0.3045
Ac: 0.0000 0.0000 0.0000
Ac: 0.1523 0.0000 0.6955
La: 0.5734 0.5000 0.8531
La: 0.4266 0.5000 0.1469
Pm: 0.7149 0.5000 0.5701
Pm: 0.2851 0.5000 0.4299

Total DFT energy (no corrections)   -31.458 eV per cell
Space-group type   No. 65
Density of states at the Fermi level   1.67 states/eV/atom
M_tot   0.00 μB per formula unit


AcLaPm5 | GGA-PBE | optimized geometry

a b c (Å): 6.8087 6.8087 12.2911
angles (deg): 105.91 105.91 96.98
Fractional positions:
Ac: 0.0000 0.0000 0.0000
Ac: 0.0000 0.0000 0.5000
La: 0.4891 0.5109 0.7500
La: 0.5109 0.4891 0.2500
Pm: 0.3850 0.0305 0.8340
Pm: 0.4665 0.7620 0.5354
Pm: 0.0305 0.3850 0.3340
Pm: 0.8308 0.1692 0.7500
Pm: 0.2380 0.5335 0.9646
Pm: 0.7620 0.4665 0.0354
Pm: 0.1692 0.8308 0.2500
Pm: 0.9695 0.6150 0.6660
Pm: 0.5335 0.2380 0.4646
Pm: 0.6150 0.9695 0.1660

Total DFT energy (no corrections)   -64.373 eV per cell
Space-group type   No. 15
Density of states at the Fermi level   1.59 states/eV/atom
M_tot   0.00 μB per formula unit


AcLa3Pm3 | GGA-PBE | optimized geometry

a b c (Å): 6.0421 10.0147 10.0147
angles (deg): 120.00 90.00 90.00
Fractional positions:
Ac: 0.2500 0.6667 0.3333
Ac: 0.7500 0.3333 0.6667
La: 0.7500 0.6259 0.5321
La: 0.7500 0.4679 0.0937
La: 0.7500 0.9063 0.3741
La: 0.2500 0.3741 0.4679
La: 0.2500 0.5321 0.9063
La: 0.2500 0.0937 0.6259
Pm: 0.2500 0.8132 0.7689
Pm: 0.2500 0.2311 0.0443
Pm: 0.2500 0.9557 0.1868
Pm: 0.7500 0.1868 0.2311
Pm: 0.7500 0.7689 0.9557
Pm: 0.7500 0.0443 0.8132

Total DFT energy (no corrections)   -65.724 eV per cell
Space-group type   No. 176
Density of states at the Fermi level   1.78 states/eV/atom
M_tot   0.00 μB per formula unit


Question: What is the density of states at the Fermi level in the ninth record?
Answer: 1.81 states/eV/atom


Question: density of states at the Fermi level of number 8 (Ac6LaPm3)?
Answer: 1.61 states/eV/atom


Question: total DFT energy (no corrections) of number 3 (AcLa6Pm)?
Answer: -38.346 eV per cell


Question: What is the total DFT energy (no corrections) in the seventh record?
Answer: -53.987 eV per cell